1.
Compound: Li2LaSe
Source: Alexandria
Functional: PBE
Structure: optimized geometry

Geometry as POSCAR:
```
Li2LaSe
1.0
-1.588 1.489 -3.116
3.081 -0.938 -2.019
-2.750 -5.943 -1.438
La Li Se
1 2 1
Direct
0.500 0.500 0.704
0.000 0.000 0.085
0.500 0.500 0.228
0.000 0.000 0.483
```

Its size of the total moment is 0.0 μB/f.u. Its theoretical density is 3.97 g/cm³. The value obtained for the uncorrected formation energy is -728 meV/atom.

***

2.
Compound: NaGa2Sn2
Source: Alexandria
Functional: PBE
Structure: optimized geometry

Geometry as POSCAR:
```
NaGa2Sn2
1.0
-1.948 2.984 3.311
-1.403 -3.840 2.635
3.125 -0.315 5.694
Na Sn Ga
1 2 2
Direct
0.000 0.000 0.000
0.750 0.250 0.500
0.250 0.750 0.500
0.387 0.387 0.226
0.613 0.613 0.774
```

Its size of the total moment is 0.0 μB/f.u. For the energy above the most stable polymorph in this dataset, the calculation gives 1 meV per atom. Its theoretical density is 5.09 g/cm³. The value obtained for the formation energy is -0.083 eV/atom.